# 1
Compound: KSc2W
Source: Alexandria via LeMat-Bulk
Functional: PBE
Structure: optimized geometry

Magnetization in μB/cell: 0.00
Energy above the lowest structure with this stoichiometry in eV/f.u.: 1.43
Energy in Ry per atom: -0.4338
V in Å³/atom: 28.574
E_form in meV/atom: 777

Cell lengths 3.615, 3.615, 8.748 Å; angles 90.00, 90.00, 90.00 degrees
Space group P4mm (No. 99)
One atom of each set of equivalent atoms:
K: 0.000 0.000 0.000 [1 per cell]
Sc: 0.000 0.000 0.584 [1 per cell]
Sc: 0.500 0.500 0.379 [1 per cell]
W: 0.500 0.500 0.693 [1 per cell]

# 2
Compound: K3ScW
Source: Alexandria via LeMat-Bulk
Functional: PBE
Structure: optimized geometry

Magnetization in μB/cell: 8.00
Energy in Ry per atom: -0.1751
V in Å³/atom: 59.780
E_form in meV/atom: 2133

Cell lengths 6.686, 6.686, 6.686 Å; angles 90.00, 90.00, 90.00 degrees
Space group Pm-3m (No. 221)
One atom of each set of equivalent atoms:
K: 0.000 0.000 0.500 [3 per cell]
Sc: 0.000 0.000 0.000 [1 per cell]
W: 0.500 0.500 0.500 [1 per cell]

# 3
Compound: KSc2W
Source: Alexandria via LeMat-Bulk
Functional: PBE
Structure: optimized geometry

Magnetization in μB/cell: 0.00
Energy above the lowest structure with this stoichiometry in eV/f.u.: 1.16
Energy in Ry per atom: -0.4388
V in Å³/atom: 28.937
E_form in meV/atom: 708

Cell lengths 2.950, 4.887, 8.028 Å; angles 90.00, 90.36, 90.00 degrees
Space group Pm (No. 6)
One atom of each set of equivalent atoms:
K: 0.000 0.000 0.000 [1 per cell]
Sc: 0.496 0.500 0.360 [1 per cell]
Sc: 0.498 0.000 0.572 [1 per cell]
W: 0.000 0.500 0.653 [1 per cell]

# 4
Compound: KScW3
Source: Alexandria via LeMat-Bulk
Functional: PBE
Structure: optimized geometry

Magnetization in μB/cell: 0.00
Energy above the lowest structure with this stoichiometry in eV/f.u.: 0.00
Energy in Ry per atom: -0.4831
V in Å³/atom: 22.920
E_form in meV/atom: 2685

Cell lengths 4.857, 4.857, 4.857 Å; angles 90.00, 90.00, 90.00 degrees
Space group Pm-3m (No. 221)
One atom of each set of equivalent atoms:
K: 0.000 0.000 0.000 [1 per cell]
Sc: 0.500 0.500 0.500 [1 per cell]
W: 0.000 0.500 0.500 [3 per cell]

# 5
Compound: KSc2W
Source: Alexandria via LeMat-Bulk
Functional: PBE
Structure: optimized geometry

Magnetization in μB/cell: 0.00
Energy above the lowest structure with this stoichiometry in eV/f.u.: 1.35
Energy in Ry per atom: -0.4353
V in Å³/atom: 28.459
E_form in meV/atom: 756

Cell lengths 3.070, 4.402, 8.424 Å; angles 90.00, 90.00, 90.00 degrees
Space group Pmm2 (No. 25)
One atom of each set of equivalent atoms:
K: 0.000 0.000 0.000 [1 per cell]
Sc: 0.000 0.000 0.574 [1 per cell]
Sc: 0.500 0.500 0.367 [1 per cell]
W: 0.500 0.500 0.688 [1 per cell]

# 6
Compound: KSc2W
Source: Alexandria via LeMat-Bulk
Functional: PBE
Structure: optimized geometry

Magnetization in μB/cell: 0.00
Energy above the lowest structure with this stoichiometry in eV/f.u.: 1.23
Energy in Ry per atom: -0.4375
V in Å³/atom: 24.302
E_form in meV/atom: 726

Cell lengths 3.565, 4.793, 11.380 Å; angles 90.00, 90.00, 90.00 degrees
Space group Cmm2 (No. 35)
One atom of each set of equivalent atoms:
K: 0.000 0.000 0.000 [2 per cell]
Sc: 0.000 0.000 0.548 [2 per cell]
Sc: 0.000 0.500 0.308 [2 per cell]
W: 0.000 0.500 0.734 [2 per cell]

# 7
Compound: KSc2W
Source: Alexandria via LeMat-Bulk
Functional: PBE
Structure: optimized geometry

Magnetization in μB/cell: 4.76
Energy above the lowest structure with this stoichiometry in eV/f.u.: 3.56
Energy in Ry per atom: -0.3947
V in Å³/atom: 23.816
E_form in meV/atom: 1309

Cell lengths 7.250, 7.250, 7.250 Å; angles 90.00, 90.00, 90.00 degrees
Space group F-43m (No. 216)
One atom of each set of equivalent atoms:
K: 0.000 0.000 0.000 [4 per cell]
Sc: 0.000 0.000 0.500 [4 per cell]
Sc: 0.250 0.250 0.750 [4 per cell]
W: 0.250 0.250 0.250 [4 per cell]

# 8
Compound: KSc2W
Source: Alexandria via LeMat-Bulk
Functional: PBE
Structure: optimized geometry

Magnetization in μB/cell: 0.00
Energy above the lowest structure with this stoichiometry in eV/f.u.: 2.09
Energy in Ry per atom: -0.4216
V in Å³/atom: 24.743
E_form in meV/atom: 942

Cell lengths 3.0703, 3.0703, 36.3679 Å; angles 90.00, 90.00, 120.00 degrees
Space group R-3m (No. 166, hexagonal axes)
One atom of each set of equivalent atoms:
K: 0.0000 0.0000 0.0000 [3 per cell]
Sc: 0.0000 0.0000 0.4272 [6 per cell]
W: 0.0000 0.0000 0.5000 [3 per cell]

# 9
Compound: KSc2W
Source: Alexandria via LeMat-Bulk
Functional: PBE
Structure: optimized geometry

Magnetization in μB/cell: 0.00
Energy above the lowest structure with this stoichiometry in eV/f.u.: 3.65
Energy in Ry per atom: -0.3930
V in Å³/atom: 41.939
E_form in meV/atom: 1331

Cell lengths 7.795, 7.795, 11.043 Å; angles 90.00, 90.00, 90.00 degrees
Space group I4_1/amd (No. 141, origin choice 2)
One atom of each set of equivalent atoms:
K: 0.000 0.250 0.375 [4 per cell]
Sc: 0.000 0.000 0.000 [8 per cell]
W: 0.000 0.250 0.875 [4 per cell]

# 10
Compound: KSc2W
Source: Alexandria via LeMat-Bulk
Functional: PBE
Structure: optimized geometry

Magnetization in μB/cell: 0.00
Energy above the lowest structure with this stoichiometry in eV/f.u.: 2.46
Energy in Ry per atom: -0.4150
V in Å³/atom: 22.727
E_form in meV/atom: 1032

Cell lengths 5.404, 5.404, 3.113 Å; angles 90.00, 90.00, 90.00 degrees
Space group P4/mmm (No. 123)
One atom of each set of equivalent atoms:
K: 0.000 0.000 0.000 [1 per cell]
Sc: 0.000 0.500 0.500 [2 per cell]
W: 0.500 0.500 0.000 [1 per cell]

# 11
Compound: KYSc2
Source: Alexandria via LeMat-Bulk
Functional: PBE
Structure: optimized geometry

Magnetization in μB/cell: 0.00
Energy above the lowest structure with this stoichiometry in eV/f.u.: 0.22
Energy in Ry per atom: -0.3465
V in Å³/atom: 33.458
E_form in meV/atom: 342

Cell lengths 3.477, 3.477, 11.069 Å; angles 90.00, 90.00, 90.00 degrees
Space group P4/mmm (No. 123)
One atom of each set of equivalent atoms:
K: 0.000 0.000 0.000 [1 per cell]
Y: 0.000 0.000 0.500 [1 per cell]
Sc: 0.500 0.500 0.296 [2 per cell]

# 12
Compound: K2YSc
Source: Alexandria via LeMat-Bulk
Functional: PBE
Structure: optimized geometry

Magnetization in μB/cell: 8.09
Energy above the lowest structure with this stoichiometry in eV/f.u.: 2.49
Energy in Ry per atom: -0.2058
V in Å³/atom: 42.485
E_form in meV/atom: 947

Cell lengths 10.127, 10.127, 6.628 Å; angles 90.00, 90.00, 90.00 degrees
Space group I-42d (No. 122)
One atom of each set of equivalent atoms:
K: 0.237 0.250 0.125 [8 per cell]
Y: 0.000 0.000 0.500 [4 per cell]
Sc: 0.000 0.000 0.000 [4 per cell]

# 13
Compound: KYSc
Source: Alexandria via LeMat-Bulk
Functional: PBE
Structure: optimized geometry

Magnetization in μB/cell: 0.83
Energy above the lowest structure with this stoichiometry in eV/f.u.: 0.00
Energy in Ry per atom: -0.3145
V in Å³/atom: 35.706
E_form in meV/atom: 352

Cell lengths 3.5594, 3.5594, 9.7631 Å; angles 90.00, 90.00, 120.00 degrees
Space group P3m1 (No. 156)
One atom of each set of equivalent atoms:
K: 0.0000 0.0000 0.0000 [1 per cell]
Y: 0.6667 0.3333 0.6209 [1 per cell]
Sc: 0.3333 0.6667 0.3590 [1 per cell]

# 14
Compound: K2YSc
Source: Alexandria via LeMat-Bulk
Functional: PBE
Structure: optimized geometry

Magnetization in μB/cell: 1.93
Energy above the lowest structure with this stoichiometry in eV/f.u.: 1.42
Energy in Ry per atom: -0.2255
V in Å³/atom: 40.360
E_form in meV/atom: 679

Cell lengths 6.841, 13.868, 3.403 Å; angles 90.00, 90.00, 90.00 degrees
Space group Cmmm (No. 65)
One atom of each set of equivalent atoms:
K: 0.250 0.250 0.000 [4 per cell]
Y: 0.000 0.000 0.500 [2 per cell]
Sc: 0.000 0.500 0.500 [2 per cell]

# 15
Compound: KYSc2
Source: Alexandria via LeMat-Bulk
Functional: PBE
Structure: optimized geometry

Magnetization in μB/cell: 3.30
Energy above the lowest structure with this stoichiometry in eV/f.u.: 1.51
Energy in Ry per atom: -0.3227
V in Å³/atom: 31.596
E_form in meV/atom: 665

Cell lengths 7.966, 7.966, 7.966 Å; angles 90.00, 90.00, 90.00 degrees
Space group Fm-3m (No. 225)
One atom of each set of equivalent atoms:
K: 0.000 0.000 0.000 [4 per cell]
Y: 0.000 0.000 0.500 [4 per cell]
Sc: 0.250 0.250 0.250 [8 per cell]